# PBE Sm2PbAu, relaxed
# Energy of formation   -0.567 eV per atom
# Final energy   -4.673 eV/atom
# Total moment   0.00 μB/cell
data_Sm2PbAu
_chemical_formula_sum 'Sm4 Pb2 Au2'
_symmetry_space_group_name_H-M 'P 1'
_symmetry_Int_Tables_number 1
_cell_length_a 12.0934
_cell_length_b 12.0934
_cell_length_c 5.0659
_cell_angle_alpha 90.00
_cell_angle_beta 90.00
_cell_angle_gamma 161.70
loop_
_symmetry_equiv_pos_as_xyz
'x,y,z'
loop_
_atom_site_label
_atom_site_type_symbol
_atom_site_fract_x
_atom_site_fract_y
_atom_site_fract_z
_atom_site_occupancy
Sm1 Sm 0.0584 0.9416 0.7500 1
Sm2 Sm 0.3278 0.6722 0.7500 1
Sm3 Sm 0.6722 0.3278 0.2500 1
Sm4 Sm 0.9416 0.0584 0.2500 1
Pb1 Pb 0.1924 0.8076 0.7500 1
Pb2 Pb 0.8076 0.1924 0.2500 1
Au1 Au 0.4584 0.5416 0.7500 1
Au2 Au 0.5416 0.4584 0.2500 1

=====

# PBE SmPbAu2, relaxed
# Energy of formation   -0.540 eV per atom
# Final energy   -4.286 eV/atom
# Energy relative to the lowest polymorph listed for this composition   57 meV/atom
# Total moment   0.00 μB/cell
data_SmPbAu2
_chemical_formula_sum 'Sm1 Pb1 Au2'
_symmetry_space_group_name_H-M 'P 1'
_symmetry_Int_Tables_number 1
_cell_length_a 3.8262
_cell_length_b 3.8262
_cell_length_c 6.6998
_cell_angle_alpha 90.00
_cell_angle_beta 90.00
_cell_angle_gamma 90.00
loop_
_symmetry_equiv_pos_as_xyz
'x,y,z'
loop_
_atom_site_label
_atom_site_type_symbol
_atom_site_fract_x
_atom_site_fract_y
_atom_site_fract_z
_atom_site_occupancy
Sm1 Sm 0.0000 0.0000 0.0000 1
Pb1 Pb 0.0000 0.0000 0.5000 1
Au1 Au 0.5000 0.5000 0.2287 1
Au2 Au 0.5000 0.5000 0.7713 1

=====

# PBE Sm4PbAu7, relaxed
# Energy of formation   -0.578 eV per atom
# Final energy   -4.372 eV/atom
# Total moment   0.00 μB/cell
data_Sm4PbAu7
_chemical_formula_sum 'Sm4 Pb1 Au7'
_symmetry_space_group_name_H-M 'P 1'
_symmetry_Int_Tables_number 1
_cell_length_a 7.7011
_cell_length_b 7.7011
_cell_length_c 9.1069
_cell_angle_alpha 119.33
_cell_angle_beta 119.33
_cell_angle_gamma 40.37
loop_
_symmetry_equiv_pos_as_xyz
'x,y,z'
loop_
_atom_site_label
_atom_site_type_symbol
_atom_site_fract_x
_atom_site_fract_y
_atom_site_fract_z
_atom_site_occupancy
Sm1 Sm 0.0529 0.0529 0.2282 1
Sm2 Sm 0.2390 0.2390 0.7526 1
Sm3 Sm 0.7610 0.7610 0.2474 1
Sm4 Sm 0.9471 0.9471 0.7718 1
Pb1 Pb 0.5000 0.5000 0.5000 1
Au1 Au 0.0000 0.0000 0.5000 1
Au2 Au 0.1906 0.1906 0.0586 1
Au3 Au 0.2914 0.2914 0.4772 1
Au4 Au 0.4234 0.4234 0.1180 1
Au5 Au 0.5766 0.5766 0.8820 1
Au6 Au 0.7086 0.7086 0.5228 1
Au7 Au 0.8094 0.8094 0.9414 1

=====

# PBE Sm4PbAu5, relaxed
# Energy of formation   -0.701 eV per atom
# Final energy   -4.599 eV/atom
# Total moment   0.00 μB/cell
data_Sm4PbAu5
_chemical_formula_sum 'Sm4 Pb1 Au5'
_symmetry_space_group_name_H-M 'P 1'
_symmetry_Int_Tables_number 1
_cell_length_a 3.7145
_cell_length_b 3.7145
_cell_length_c 17.9195
_cell_angle_alpha 90.00
_cell_angle_beta 90.00
_cell_angle_gamma 90.00
loop_
_symmetry_equiv_pos_as_xyz
'x,y,z'
loop_
_atom_site_label
_atom_site_type_symbol
_atom_site_fract_x
_atom_site_fract_y
_atom_site_fract_z
_atom_site_occupancy
Sm1 Sm 0.0000 0.0000 0.1028 1
Sm2 Sm 0.0000 0.0000 0.3070 1
Sm3 Sm 0.0000 0.0000 0.6930 1
Sm4 Sm 0.0000 0.0000 0.8972 1
Pb1 Pb 0.0000 0.0000 0.5000 1
Au1 Au 0.5000 0.5000 0.0000 1
Au2 Au 0.5000 0.5000 0.2010 1
Au3 Au 0.5000 0.5000 0.3923 1
Au4 Au 0.5000 0.5000 0.6077 1
Au5 Au 0.5000 0.5000 0.7990 1

=====

# PBE Sm8Pb2Au, relaxed
# Energy of formation   -0.327 eV per atom
# Final energy   -4.731 eV/atom
# Total moment   0.00 μB/cell
data_Sm8Pb2Au
_chemical_formula_sum 'Sm8 Pb2 Au1'
_symmetry_space_group_name_H-M 'P 1'
_symmetry_Int_Tables_number 1
_cell_length_a 10.2255
_cell_length_b 10.2255
_cell_length_c 6.9297
_cell_angle_alpha 103.37
_cell_angle_beta 103.37
_cell_angle_gamma 29.17
loop_
_symmetry_equiv_pos_as_xyz
'x,y,z'
loop_
_atom_site_label
_atom_site_type_symbol
_atom_site_fract_x
_atom_site_fract_y
_atom_site_fract_z
_atom_site_occupancy
Sm1 Sm 0.0154 0.0154 0.2757 1
Sm2 Sm 0.2153 0.2153 0.8280 1
Sm3 Sm 0.3492 0.3492 0.4926 1
Sm4 Sm 0.4082 0.4082 0.0236 1
Sm5 Sm 0.5918 0.5918 0.9764 1
Sm6 Sm 0.6508 0.6508 0.5074 1
Sm7 Sm 0.7847 0.7847 0.1720 1
Sm8 Sm 0.9846 0.9846 0.7243 1
Pb1 Pb 0.1812 0.1812 0.2644 1
Pb2 Pb 0.8188 0.8188 0.7356 1
Au1 Au 0.5000 0.5000 0.5000 1

=====

# PBE Sm7Pb2Au2, relaxed
# Energy of formation   -0.306 eV per atom
# Final energy   -4.579 eV/atom
# Total moment   0.00 μB/cell
data_Sm7Pb2Au2
_chemical_formula_sum 'Sm7 Pb2 Au2'
_symmetry_space_group_name_H-M 'P 1'
_symmetry_Int_Tables_number 1
_cell_length_a 7.1945
_cell_length_b 7.1945
_cell_length_c 7.1917
_cell_angle_alpha 90.00
_cell_angle_beta 90.00
_cell_angle_gamma 106.64
loop_
_symmetry_equiv_pos_as_xyz
'x,y,z'
loop_
_atom_site_label
_atom_site_type_symbol
_atom_site_fract_x
_atom_site_fract_y
_atom_site_fract_z
_atom_site_occupancy
Sm1 Sm 0.0000 0.0000 0.0000 1
Sm2 Sm 0.0000 0.5000 0.2624 1
Sm3 Sm 0.0000 0.5000 0.7376 1
Sm4 Sm 0.5000 0.0000 0.2624 1
Sm5 Sm 0.5000 0.0000 0.7376 1
Sm6 Sm 0.5000 0.5000 0.2423 1
Sm7 Sm 0.5000 0.5000 0.7577 1
Pb1 Pb 0.1810 0.1810 0.5000 1
Pb2 Pb 0.8190 0.8190 0.5000 1
Au1 Au 0.2839 0.7161 0.0000 1
Au2 Au 0.7161 0.2839 0.0000 1

=====

# PBE Sm5PbAu2, relaxed
# Energy of formation   -0.584 eV per atom
# Final energy   -4.816 eV/atom
# Total moment   0.00 μB/cell
data_Sm5PbAu2
_chemical_formula_sum 'Sm10 Pb2 Au4'
_symmetry_space_group_name_H-M 'P 1'
_symmetry_Int_Tables_number 1
_cell_length_a 8.9167
_cell_length_b 8.9167
_cell_length_c 8.9167
_cell_angle_alpha 124.73
_cell_angle_beta 124.73
_cell_angle_gamma 81.99
loop_
_symmetry_equiv_pos_as_xyz
'x,y,z'
loop_
_atom_site_label
_atom_site_type_symbol
_atom_site_fract_x
_atom_site_fract_y
_atom_site_fract_z
_atom_site_occupancy
Sm1 Sm 0.0000 0.0000 0.0000 1
Sm2 Sm 0.0128 0.5128 0.8118 1
Sm3 Sm 0.2010 0.0128 0.5000 1
Sm4 Sm 0.2990 0.7990 0.8118 1
Sm5 Sm 0.4872 0.2990 0.5000 1
Sm6 Sm 0.5000 0.5000 0.0000 1
Sm7 Sm 0.5128 0.7010 0.5000 1
Sm8 Sm 0.7010 0.2010 0.1882 1
Sm9 Sm 0.7990 0.9872 0.5000 1
Sm10 Sm 0.9872 0.4872 0.1882 1
Pb1 Pb 0.2500 0.2500 0.0000 1
Pb2 Pb 0.7500 0.7500 0.0000 1
Au1 Au 0.1353 0.3647 0.5000 1
Au2 Au 0.3647 0.8647 0.2294 1
Au3 Au 0.6353 0.1353 0.7706 1
Au4 Au 0.8647 0.6353 0.5000 1

=====

# PBE SmPb2Au, relaxed
# Energy of formation   -0.423 eV per atom
# Final energy   -4.276 eV/atom
# Energy relative to the lowest polymorph listed for this composition   53 meV/atom
# Total moment   0.00 μB/cell
data_SmPb2Au
_chemical_formula_sum 'Sm1 Pb2 Au1'
_symmetry_space_group_name_H-M 'P 1'
_symmetry_Int_Tables_number 1
_cell_length_a 4.7624
_cell_length_b 4.7624
_cell_length_c 4.6165
_cell_angle_alpha 90.00
_cell_angle_beta 90.00
_cell_angle_gamma 90.00
loop_
_symmetry_equiv_pos_as_xyz
'x,y,z'
loop_
_atom_site_label
_atom_site_type_symbol
_atom_site_fract_x
_atom_site_fract_y
_atom_site_fract_z
_atom_site_occupancy
Sm1 Sm 0.0000 0.0000 0.0000 1
Pb1 Pb 0.0000 0.5000 0.5000 1
Pb2 Pb 0.5000 0.0000 0.5000 1
Au1 Au 0.5000 0.5000 0.0000 1

=====

# PBE Sm2PbAu, relaxed
# Energy of formation   -0.635 eV per atom
# Final energy   -4.741 eV/atom
# Total moment   0.00 μB/cell
data_Sm2PbAu
_chemical_formula_sum 'Sm2 Pb1 Au1'
_symmetry_space_group_name_H-M 'P 1'
_symmetry_Int_Tables_number 1
_cell_length_a 3.6030
_cell_length_b 3.6030
_cell_length_c 8.3702
_cell_angle_alpha 90.00
_cell_angle_beta 90.00
_cell_angle_gamma 90.00
loop_
_symmetry_equiv_pos_as_xyz
'x,y,z'
loop_
_atom_site_label
_atom_site_type_symbol
_atom_site_fract_x
_atom_site_fract_y
_atom_site_fract_z
_atom_site_occupancy
Sm1 Sm 0.0000 0.0000 0.2238 1
Sm2 Sm 0.0000 0.0000 0.7762 1
Pb1 Pb 0.5000 0.5000 0.5000 1
Au1 Au 0.5000 0.5000 0.0000 1

=====

# PBE SmPb2Au, relaxed
# Energy of formation   -0.475 eV per atom
# Final energy   -4.329 eV/atom
# Energy relative to the lowest polymorph listed for this composition   0 meV/atom
# Total moment   0.00 μB/cell
data_SmPb2Au
_chemical_formula_sum 'Sm2 Pb4 Au2'
_symmetry_space_group_name_H-M 'P 1'
_symmetry_Int_Tables_number 1
_cell_length_a 9.1791
_cell_length_b 9.1791
_cell_length_c 9.1791
_cell_angle_alpha 148.19
_cell_angle_beta 148.19
_cell_angle_gamma 45.60
loop_
_symmetry_equiv_pos_as_xyz
'x,y,z'
loop_
_atom_site_label
_atom_site_type_symbol
_atom_site_fract_x
_atom_site_fract_y
_atom_site_fract_z
_atom_site_occupancy
Sm1 Sm 0.1406 0.1406 0.0000 1
Sm2 Sm 0.8594 0.8594 0.0000 1
Pb1 Pb 0.0000 0.5000 0.5000 1
Pb2 Pb 0.3586 0.3586 0.0000 1
Pb3 Pb 0.5000 0.0000 0.5000 1
Pb4 Pb 0.6414 0.6414 0.0000 1
Au1 Au 0.2500 0.7500 0.5000 1
Au2 Au 0.7500 0.2500 0.5000 1

=====

# PBE SmSnPbAu, relaxed
# Energy of formation   -0.353 eV per atom
# Final energy   -4.280 eV/atom
# Total moment   0.00 μB/cell
data_SmSnPbAu
_chemical_formula_sum 'Sm1 Sn1 Pb1 Au1'
_symmetry_space_group_name_H-M 'P 1'
_symmetry_Int_Tables_number 1
_cell_length_a 5.3303
_cell_length_b 5.3303
_cell_length_c 5.3303
_cell_angle_alpha 60.00
_cell_angle_beta 60.00
_cell_angle_gamma 60.00
loop_
_symmetry_equiv_pos_as_xyz
'x,y,z'
loop_
_atom_site_label
_atom_site_type_symbol
_atom_site_fract_x
_atom_site_fract_y
_atom_site_fract_z
_atom_site_occupancy
Sm1 Sm 0.0000 0.0000 0.0000 1
Sn1 Sn 0.2500 0.2500 0.2500 1
Pb1 Pb 0.5000 0.5000 0.5000 1
Au1 Au 0.7500 0.7500 0.7500 1

=====

# PBE SrSmPbAu, relaxed
# Energy of formation   -0.614 eV per atom
# Final energy   -3.961 eV/atom
# Total moment   0.00 μB/cell
data_SrSmPbAu
_chemical_formula_sum 'Sr1 Sm1 Pb1 Au1'
_symmetry_space_group_name_H-M 'P 1'
_symmetry_Int_Tables_number 1
_cell_length_a 5.4879
_cell_length_b 5.4879
_cell_length_c 5.4879
_cell_angle_alpha 60.00
_cell_angle_beta 60.00
_cell_angle_gamma 60.00
loop_
_symmetry_equiv_pos_as_xyz
'x,y,z'
loop_
_atom_site_label
_atom_site_type_symbol
_atom_site_fract_x
_atom_site_fract_y
_atom_site_fract_z
_atom_site_occupancy
Sr1 Sr 0.0000 0.0000 0.0000 1
Sm1 Sm 0.5000 0.5000 0.5000 1
Pb1 Pb 0.7500 0.7500 0.7500 1
Au1 Au 0.2500 0.2500 0.2500 1